## Nd4S4Cl2O (GGA-PBE)

Data for a geometry-optimized Nd4S4Cl2O structure.

Calculated values
- M_tot (μB/f.u.) = 0.0
- electronic total energy (eV for the cell shown) = -139.9
- crystal system = orthorhombic
- density of states at the Fermi level (states/eV per cell) = 0.00

a b c (Å): 9.2954 9.2954 6.8997
angles (deg): 90.00 90.00 120.99
Positions (direct):
1 Nd 0.1065 0.3066 0.4719
2 Nd 0.1845 0.8155 0.5000
3 Nd 0.3048 0.6952 0.9514
4 Nd 0.3066 0.1065 0.9719
5 Nd 0.6934 0.8935 0.4719
6 Nd 0.6952 0.3048 0.4514
7 Nd 0.8155 0.1845 0.0000
8 Nd 0.8935 0.6934 0.9719
9 S 0.0314 0.5531 0.2315
10 S 0.0413 0.9587 0.2533
11 S 0.3676 0.6324 0.5728
12 S 0.4469 0.9686 0.2315
13 S 0.5531 0.0314 0.7315
14 S 0.6324 0.3676 0.0728
15 S 0.9587 0.0413 0.7533
16 S 0.9686 0.4469 0.7315
17 Cl 0.2362 0.3664 0.0771
18 Cl 0.3664 0.2362 0.5771
19 Cl 0.6336 0.7638 0.0771
20 Cl 0.7638 0.6336 0.5771
21 O 0.1675 0.8325 0.8435
22 O 0.8325 0.1675 0.3435